## HgGePd2W (GGA-PBEsol)

Data for a relaxed structure of HgGePd2W.

The calculation puts the total energy at -4.362 eV per atom. The energy relative to the elements is 1.8845 eV/atom. As for the space group: No. 123.

a b c (Å): 4.8786 4.8786 4.9735
angles (deg): 90.00 90.00 90.00
Last column: magnetic moment on the atom in μB.
Positions (direct):
Pd  0.5000  0.0000  0.0000  0.03
W  0.0000  0.0000  0.5000  1.58
Pd  0.0000  0.5000  0.0000  0.03
Hg  0.0000  0.0000  0.0000  0.04
Ge  0.5000  0.5000  0.5000  -0.07